Record 1
First-principles (PBE) data for TiFeRu after structural relaxation, as listed in the Alexandria database.

Unit cell a=4.6812 b=6.4710 c=5.7282 alpha=90.00 beta=105.49 gamma=90.00
Positions (direct):
1 Ti 0.1553 0.2229 0.0258
2 Ti 0.1553 0.2771 0.5258
3 Ti 0.8447 0.7229 0.4742
4 Ti 0.8447 0.7771 0.9742
5 Fe 0.2892 0.5574 0.8465
6 Fe 0.2892 0.9426 0.3465
7 Fe 0.7108 0.0574 0.6535
8 Fe 0.7108 0.4426 0.1535
9 Ru 0.2911 0.5765 0.2892
10 Ru 0.2911 0.9235 0.7892
11 Ru 0.7089 0.0765 0.2108
12 Ru 0.7089 0.4235 0.7108

## Properties
* crystal system: monoclinic
* calculated volume: 13.93 Å³/atom
* DOS at the Fermi energy: 2.97 states/eV/f.u.
* total magnetization: 0.00 μB/f.u.
* polymorph energy (0 for the lowest one): 230 meV per atom

Record 2
First-principles (PBE) data for Nd3Cd after structural relaxation, as listed in the Alexandria database.

Unit cell a=6.7976 b=6.7976 c=6.7976 alpha=146.49 beta=60.26 gamma=131.48
Positions (direct):
1 Nd 0.0000 0.0000 0.0000
2 Nd 0.2795 0.5024 0.7771
3 Nd 0.7253 0.5024 0.2229
4 Cd 0.4988 0.9988 0.5000

## Properties
* crystal system: orthorhombic
* calculated volume: 32.18 Å³/atom
* DOS at the Fermi energy: 4.38 states/eV/f.u.
* total magnetization: 0.00 μB/f.u.
* polymorph energy (0 for the lowest one): 0 meV per atom